Here is a relaxed TiCrNiW crystal from the Alexandria database. Energies are from GGA-PBE.

DOS(E_F)	4.89	states/eV per cell
space-group type	F-43m (216)
energy of formation	-0.1	eV/f.u.

abc: 4.2605 4.2605 4.2605
angles: 60.00 60.00 60.00
Last column: nearest neighbours and their distance in Å.
Atoms (fractional coordinates):
Ti (0.0000, 0.0000, 0.0000)  4 Cr 2.61, 4 Ni 2.61
Cr (0.7500, 0.7500, 0.7500)  4 W 2.61, 4 Ti 2.61
Ni (0.2500, 0.2500, 0.2500)  4 W 2.61, 4 Ti 2.61
W (0.5000, 0.5000, 0.5000)  4 Cr 2.61, 4 Ni 2.61